This record from the Open Quantum Materials Database describes a relaxed structure of Nb2Co2GePb. The functional is PBE.

```
Nb2Co2GePb
1.0
10.2064 0.0000 0.0000
0.0000 4.1495 0.0000
-3.4470 0.0000 9.6781
Co Ge Nb Pb
8 4 8 4
Cartesian
-0.0180 0.0000 0.1326
3.3241 2.0748 1.2912
6.7064 0.0000 2.3137
0.0823 2.0748 3.5897
3.3200 0.0000 4.7343
6.7753 2.0748 6.0149
0.0530 0.0000 7.1093
3.4238 2.0748 8.5772
7.6314 0.0000 0.0363
0.8372 2.0748 1.2331
4.2271 0.0000 2.4248
0.8704 0.0000 4.7955
2.5026 0.0000 0.1561
5.9218 2.0748 1.2087
-0.7840 0.0000 2.3941
2.5073 2.0748 3.5805
5.8863 0.0000 4.7651
-0.7789 2.0748 5.9550
2.5233 0.0000 7.2590
5.8801 2.0748 8.6066
7.6629 2.0748 3.5907
4.2146 2.0748 6.0650
-2.5651 0.0000 7.2899
0.7690 2.0748 8.4965
```

* crystal system: monoclinic
* space group: Pm (6)
* E: -7.33 eV per atom